# K2Ca3YF12

A geometry-optimized K2Ca3YF12 structure (GGA-PBE, Alexandria).

Unit cell a=8.0248 b=8.0248 c=20.8927 alpha=90.00 beta=90.00 gamma=120.00
With the nearest neighbours (Å) after each atom.
Space group R-3m (No. 166, hexagonal axes)
One atom of each set of equivalent atoms:
1 K 0.0000 0.0000 0.0870 x6  3 F 2.87
2 Ca 0.0000 0.5000 0.0000 x9  6 F 2.25-2.27
3 Y 0.0000 0.0000 0.5000 x3  6 F 2.19
4 F 0.0396 0.5198 0.3614 x18  2 Ca 2.27
5 F 0.0812 0.5406 0.1042 x18  1 Y 2.19, 1 Ca 2.25

## Properties
uncorrected formation energy: -3.40 eV per atom
density of states at the Fermi level: 1.050 states/eV/atom
electronic total energy: -5.458 eV/atom

***

# KCa2ZnF8

A geometry-optimized KCa2ZnF8 structure (GGA-PBE, Alexandria).

Unit cell a=4.1567 b=7.7566 c=5.3835 alpha=90.00 beta=97.28 gamma=90.00
With the nearest neighbours (Å) after each atom.
Space group P2/m (No. 10)
One atom of each set of equivalent atoms:
1 K 0.0000 0.0000 0.0000 x1  8 F 2.53-2.68
2 Ca 0.5000 0.2639 0.5000 x2  8 F 2.33-2.51
3 Zn 0.0000 0.5000 0.0000 x1  6 F 2.03-2.10
4 F 0.0489 0.2958 0.7506 x4  1 Zn 2.10
5 F 0.4249 0.5000 0.2308 x2  1 Zn 2.03
6 F 0.4682 0.0000 0.7131 x2  1 F 2.34, 2 Ca 2.36, 1 K 2.53

## Properties
uncorrected formation energy: -2.95 eV per atom
density of states at the Fermi level: 0.734 states/eV/atom
electronic total energy: -4.724 eV/atom

***

# K4CaZn3F12

A geometry-optimized K4CaZn3F12 structure (GGA-PBE, Alexandria).

Unit cell a=8.4291 b=8.4291 c=8.4291 alpha=90.00 beta=90.00 gamma=90.00
With the nearest neighbours (Å) after each atom.
Space group Im-3m (No. 229)
One atom of each set of equivalent atoms:
1 K 0.2500 0.2500 0.2500 x8  12 F 2.98
2 Ca 0.0000 0.0000 0.0000 x2  6 F 2.21
3 Zn 0.0000 0.0000 0.5000 x6  6 F 2.01-2.11
4 F 0.0000 0.0000 0.2619 x12  1 Zn 2.01, 1 Ca 2.21
5 F 0.0000 0.2500 0.5000 x12  2 Zn 2.11

## Properties
uncorrected formation energy: -2.78 eV per atom
density of states at the Fermi level: 0.000 states/eV/atom
electronic total energy: -4.417 eV/atom

***

# KCaZrF2

A geometry-optimized KCaZrF2 structure (GGA-PBE, Alexandria).

Unit cell a=4.5192 b=4.5192 c=8.2731 alpha=90.00 beta=90.00 gamma=90.00
With the nearest neighbours (Å) after each atom.
Space group P4/mmm (No. 123)
One atom of each set of equivalent atoms:
1 K 0.0000 0.0000 0.0000 x1  4 Zr 3.20
2 Ca 0.0000 0.0000 0.5000 x1  4 F 2.26
3 Zr 0.5000 0.5000 0.0000 x1  4 K 3.20
4 F 0.0000 0.5000 0.5000 x2  2 Ca 2.26

## Properties
uncorrected formation energy: -1.02 eV per atom
density of states at the Fermi level: 0.908 states/eV/atom
electronic total energy: -4.096 eV/atom

***

# Ca2LaF

A geometry-optimized Ca2LaF structure (GGA-PBE, Alexandria).

Unit cell a=8.2189 b=8.2189 c=8.2189 alpha=90.00 beta=90.00 gamma=90.00
With the nearest neighbours (Å) after each atom.
Space group Fm-3m (No. 225)
One atom of each set of equivalent atoms:
1 Ca 0.2500 0.2500 0.2500 x8  4 F 3.56, 4 La 3.56
2 La 0.0000 0.0000 0.0000 x4  8 Ca 3.56
3 F 0.0000 0.0000 0.5000 x4  8 Ca 3.56

## Properties
uncorrected formation energy: -0.14 eV per atom
density of states at the Fermi level: 1.182 states/eV/atom
electronic total energy: -2.839 eV/atom

***

# CaLaF2

A geometry-optimized CaLaF2 structure (GGA-PBE, Alexandria).

Unit cell a=6.7508 b=6.7508 c=6.7508 alpha=90.00 beta=90.00 gamma=90.00
With the nearest neighbours (Å) after each atom.
Space group Fm-3m (No. 225)
One atom of each set of equivalent atoms:
1 Ca 0.0000 0.0000 0.0000 x4  8 F 2.92
2 La 0.0000 0.0000 0.5000 x4  8 F 2.92
3 F 0.2500 0.2500 0.2500 x8  4 La 2.92, 4 Ca 2.92

## Properties
uncorrected formation energy: -1.77 eV per atom
density of states at the Fermi level: 0.994 states/eV/atom
electronic total energy: -4.437 eV/atom

***

# CaLaF2

A geometry-optimized CaLaF2 structure (GGA-PBE, Alexandria).

Unit cell a=3.8198 b=3.8198 c=20.4050 alpha=90.00 beta=90.00 gamma=120.00
With the nearest neighbours (Å) after each atom.
Space group R-3m (No. 166, hexagonal axes)
One atom of each set of equivalent atoms:
1 Ca 0.0000 0.0000 0.0000 x3  6 F 2.37
2 La 0.0000 0.0000 0.5000 x3  2 F 2.55
3 F 0.0000 0.0000 0.3753 x6  3 Ca 2.37, 1 La 2.55

## Properties
uncorrected formation energy: -2.75 eV per atom
density of states at the Fermi level: 0.544 states/eV/atom
electronic total energy: -5.415 eV/atom

***

# Ca2LaF

A geometry-optimized Ca2LaF structure (GGA-PBE, Alexandria).

Unit cell a=3.6160 b=3.6160 c=30.5333 alpha=90.00 beta=90.00 gamma=120.00
With the nearest neighbours (Å) after each atom.
Space group R-3m (No. 166, hexagonal axes)
One atom of each set of equivalent atoms:
1 Ca 0.0000 0.0000 0.1144 x6  3 F 2.63
2 La 0.0000 0.0000 0.0000 x3  2 Ca 3.49, 6 La 3.62
3 F 0.0000 0.0000 0.5000 x3  6 Ca 2.63

## Properties
uncorrected formation energy: -1.07 eV per atom
density of states at the Fermi level: 0.890 states/eV/atom
electronic total energy: -3.775 eV/atom

***

# CaLaF2

A geometry-optimized CaLaF2 structure (GGA-PBE, Alexandria).

Unit cell a=5.7002 b=5.7002 c=11.4489 alpha=90.00 beta=90.00 gamma=90.00
With the nearest neighbours (Å) after each atom.
Space group I-42d (No. 122)
One atom of each set of equivalent atoms:
1 Ca 0.0000 0.0000 0.0000 x4  4 F 2.37
2 La 0.0000 0.0000 0.5000 x4  4 F 2.58
3 F 0.2176 0.2500 0.1250 x8  2 Ca 2.37, 2 La 2.58

## Properties
uncorrected formation energy: -2.50 eV per atom
density of states at the Fermi level: 0.459 states/eV/atom
electronic total energy: -5.171 eV/atom

***

# Ca3LaF8

A geometry-optimized Ca3LaF8 structure (GGA-PBE, Alexandria).

Unit cell a=5.6362 b=5.6362 c=5.6362 alpha=90.00 beta=90.00 gamma=90.00
With the nearest neighbours (Å) after each atom.
Space group Pm-3m (No. 221)
One atom of each set of equivalent atoms:
1 Ca 0.0000 0.0000 0.5000 x3  8 F 2.42
2 La 0.5000 0.5000 0.5000 x1  8 F 2.51
3 F 0.2430 0.2430 0.2430 x8  3 Ca 2.42, 1 La 2.51

## Properties
uncorrected formation energy: -3.78 eV per atom
density of states at the Fermi level: 0.407 states/eV/atom
electronic total energy: -5.938 eV/atom

***

# Ca2LaF

A geometry-optimized Ca2LaF structure (GGA-PBE, Alexandria).

Unit cell a=7.3146 b=7.3146 c=10.2368 alpha=90.00 beta=90.00 gamma=90.00
With the nearest neighbours (Å) after each atom.
Space group I-42d (No. 122)
One atom of each set of equivalent atoms:
1 Ca 0.0354 0.2500 0.1250 x8  2 F 2.25
2 La 0.0000 0.0000 0.5000 x4  12 Ca 4.07-4.51, 4 La 4.46, 4 F 4.46
3 F 0.0000 0.0000 0.0000 x4  4 Ca 2.25

## Properties
uncorrected formation energy: -1.24 eV per atom
density of states at the Fermi level: 1.638 states/eV/atom
electronic total energy: -3.943 eV/atom

***

# CaLa2F8

A geometry-optimized CaLa2F8 structure (GGA-PBE, Alexandria).

Unit cell a=14.4754 b=3.9907 c=5.6993 alpha=90.00 beta=110.94 gamma=90.00
With the nearest neighbours (Å) after each atom.
Space group C2/m (No. 12)
One atom of each set of equivalent atoms:
1 Ca 0.0000 0.0000 0.0000 x2  8 F 2.36-2.55
2 La 0.1691 0.5000 0.6759 x4  9 F 2.38-2.59
3 F 0.0280 0.5000 0.7965 x4  1 La 2.38, 2 Ca 2.41
4 F 0.0953 0.0000 0.4336 x4  1 Ca 2.36, 2 La 2.44, 1 F 2.60
5 F 0.1698 0.0000 0.9609 x4  3 La 2.50-2.57, 1 Ca 2.55, 5 F 2.67-2.77
6 F 0.2152 0.5000 0.3154 x4  3 La 2.38-2.59, 1 F 2.60

## Properties
uncorrected formation energy: -4.09 eV per atom
density of states at the Fermi level: 0.000 states/eV/atom
electronic total energy: -6.524 eV/atom

***

# Ca2LaMgF

A geometry-optimized Ca2LaMgF structure (GGA-PBE, Alexandria).

Unit cell a=5.0405 b=5.0405 c=5.4050 alpha=90.00 beta=90.00 gamma=90.00
With the nearest neighbours (Å) after each atom.
Space group P4/mmm (No. 123)
One atom of each set of equivalent atoms:
1 Ca 0.0000 0.5000 0.0000 x2  2 F 2.52
2 La 0.0000 0.0000 0.5000 x1  2 F 2.70
3 Mg 0.5000 0.5000 0.5000 x1  4 La 3.56, 8 Ca 3.70
4 F 0.0000 0.0000 0.0000 x1  4 Ca 2.52, 2 La 2.70

## Properties
uncorrected formation energy: -0.99 eV per atom
density of states at the Fermi level: 1.109 states/eV/atom
electronic total energy: -3.469 eV/atom